(1)
VASP calculation (PBE-GGA) on a relaxed CaTaRu2 crystal.

Cell: 3.076 4.063 6.304 Å, 90.00 90.00 90.00°
Sites, in units of the cell vectors:
Ca 0.500 0.500 0.786
Ru 0.500 0.500 0.284
Ru 0.000 0.000 0.031
Ta 0.000 0.000 0.400

(2)
VASP calculation (PBE-GGA) on a relaxed Nd7Cd2Os2 crystal.

Cell: 7.002 7.363 7.002 Å, 90.00 107.17 90.00°
Sites, in units of the cell vectors:
Nd 0.500 0.760 0.500
Nd 0.000 0.000 0.000
Nd 0.500 0.750 0.000
Nd 0.500 0.240 0.500
Nd 0.500 0.250 0.000
Nd 0.000 0.250 0.500
Nd 0.000 0.750 0.500
Cd 0.171 0.500 0.171
Cd 0.829 0.500 0.829
Os 0.293 0.000 0.707
Os 0.707 0.000 0.293

Here are the calculated energy numbers, same order: -31.14; -58.56 (eV per cell).